1.
A geometry-optimized Cu3Rh structure, computed with PBEsol.

Unit cell a=4.167 b=5.148 c=5.148 alpha=120.00 beta=90.00 gamma=90.00
Positions (direct):
1 Cu 0.750 0.164 0.329
2 Cu 0.250 0.836 0.671
3 Cu 0.750 0.164 0.836
4 Cu 0.250 0.836 0.164
5 Cu 0.750 0.671 0.836
6 Cu 0.250 0.329 0.164
7 Rh 0.750 0.667 0.333
8 Rh 0.250 0.333 0.667

Values from the calculation:
E = -5.219 eV/atom
Formation energy from the elements = 66 meV per atom

2.
A geometry-optimized Cu5Rh structure, computed with PBEsol.

Unit cell a=2.564 b=2.564 c=10.717 alpha=90.00 beta=90.00 gamma=90.00
Positions (direct):
1 Cu 0.000 0.000 0.824
2 Cu 0.000 0.000 0.176
3 Cu 0.500 0.500 0.662
4 Cu 0.500 0.500 0.338
5 Cu 0.000 0.000 0.500
6 Rh 0.500 0.500 0.000

Values from the calculation:
E = -4.921 eV/atom
Formation energy from the elements = 47 meV per atom

3.
A geometry-optimized Cu2Rh structure, computed with PBEsol.

Unit cell a=3.681 b=5.138 c=7.717 alpha=90.00 beta=90.00 gamma=90.00
Positions (direct):
1 Cu 0.750 0.883 0.748
2 Cu 0.750 0.875 0.416
3 Cu 0.250 0.625 0.916
4 Cu 0.250 0.617 0.248
5 Cu 0.750 0.383 0.752
6 Cu 0.750 0.375 0.084
7 Cu 0.250 0.125 0.584
8 Cu 0.250 0.117 0.252
9 Rh 0.750 0.873 0.085
10 Rh 0.250 0.627 0.585
11 Rh 0.750 0.373 0.415
12 Rh 0.250 0.127 0.915

Values from the calculation:
E = -5.512 eV/atom
Relative energy among the computed polymorphs = 4.25 kJ/mol of atoms
Formation energy from the elements = 91 meV per atom